Ho3Zn2Ru after structural relaxation. Source: Alexandria, functional PBE.

Cell: 4.9168 4.9168 6.0677 Å, 90.00 90.00 120.00°
With the nearest neighbours (Å) after each atom.
Element x y z (fractional)
Ho  0.0000  0.0000  0.0000  6 Zn 3.00, 2 Ru 3.03
Ho  0.3333  0.6667  0.6541  3 Ru 2.99, 5 Zn 3.01-3.06
Ho  0.6667  0.3333  0.3459  3 Ru 2.99, 5 Zn 3.01-3.06
Zn  0.3333  0.6667  0.1582  8 Ho 3.00-3.06
Zn  0.6667  0.3333  0.8418  8 Ho 3.00-3.06
Ru  0.0000  0.0000  0.5000  8 Ho 2.99-3.03

Output
SG: P-3m1
DOS(E_F) in states/eV per cell: 3.0
Electronic total energy in eV per atom: -4.666
DFT formation energy in meV/atom: -406.5

Ac5DyAs6 after structural relaxation. Source: Alexandria, functional PBE.

Cell: 7.7689 7.7689 7.7664 Å, 99.61 99.61 120.00°
With the nearest neighbours (Å) after each atom.
Element x y z (fractional)
Ac  0.0000  0.0000  0.0000  6 As 3.17-3.28
Ac  0.1660  0.8340  0.5000  6 As 3.18
Ac  0.3321  0.6679  0.0000  6 As 3.17-3.27
Ac  0.6679  0.3321  0.0000  6 As 3.17-3.27
Ac  0.8340  0.1660  0.5000  6 As 3.18
Dy  0.5000  0.5000  0.5000  6 As 3.06
As  0.0987  0.4196  0.2582  1 Dy 3.06, 5 Ac 3.17-3.27
As  0.2605  0.2605  0.7431  1 Dy 3.06, 5 Ac 3.17-3.28
As  0.4196  0.0987  0.2582  1 Dy 3.06, 5 Ac 3.17-3.27
As  0.5804  0.9013  0.7418  1 Dy 3.06, 5 Ac 3.17-3.27
As  0.7395  0.7395  0.2569  1 Dy 3.06, 5 Ac 3.17-3.28
As  0.9013  0.5804  0.7418  1 Dy 3.06, 5 Ac 3.17-3.27

Output
SG: C2/m
DOS(E_F) in states/eV per cell: 0.6
Electronic total energy in eV per atom: -5.882
DFT formation energy in meV/atom: -1461.8

SmTm12In3 after structural relaxation. Source: Alexandria, functional PBE.

Cell: 4.8076 4.8076 19.5429 Å, 90.00 90.00 90.00°
With the nearest neighbours (Å) after each atom.
Element x y z (fractional)
Sm  0.0000  0.0000  0.0000  12 Tm 3.40-3.52
Tm  0.0000  0.5000  0.1315  8 Tm 3.40-3.52, 2 In 3.43, 2 Sm 3.52
Tm  0.0000  0.5000  0.3777  4 In 3.37-3.39, 8 Tm 3.38-3.40
Tm  0.0000  0.5000  0.6223  4 In 3.37-3.39, 8 Tm 3.38-3.40
Tm  0.0000  0.5000  0.8685  8 Tm 3.40-3.52, 2 In 3.43, 2 Sm 3.52
Tm  0.5000  0.0000  0.1315  8 Tm 3.40-3.52, 2 In 3.43, 2 Sm 3.52
Tm  0.5000  0.0000  0.3777  4 In 3.37-3.39, 8 Tm 3.38-3.40
Tm  0.5000  0.0000  0.6223  4 In 3.37-3.39, 8 Tm 3.38-3.40
Tm  0.5000  0.0000  0.8685  8 Tm 3.40-3.52, 2 In 3.43, 2 Sm 3.52
Tm  0.5000  0.5000  0.0000  4 Sm 3.40, 8 Tm 3.52
Tm  0.5000  0.5000  0.2560  8 Tm 3.38-3.42, 4 In 3.40
Tm  0.5000  0.5000  0.5000  8 Tm 3.39, 4 In 3.40
Tm  0.5000  0.5000  0.7440  8 Tm 3.38-3.42, 4 In 3.40
In  0.0000  0.0000  0.2566  12 Tm 3.37-3.43
In  0.0000  0.0000  0.5000  12 Tm 3.39-3.40
In  0.0000  0.0000  0.7434  12 Tm 3.37-3.43

Output
SG: P4/mmm
DOS(E_F) in states/eV per cell: 17.0
Electronic total energy in eV per atom: -4.343
DFT formation energy in meV/atom: -181.2